Arrangement i

## CdPd5Au (PBE)

Data for a geometry-optimized CdPd5Au structure.

a = 4.908 Å, b = 4.908 Å, c = 5.518 Å
α = 90.00°, β = 90.00°, γ = 110.93°
Positions (direct):
Cd: 0.000 0.000 0.000
Pd: 0.000 0.500 0.254
Pd: 0.000 0.500 0.746
Pd: 0.500 0.000 0.254
Pd: 0.500 0.000 0.746
Pd: 0.500 0.500 0.000
Au: 0.500 0.500 0.500

Mass density (g cm⁻³): 11.3
SG: No. 65
V (Å³/atom): 17.7

***

Arrangement ii

## CdPd5Au (PBE)

Data for a geometry-optimized CdPd5Au structure.

a = 6.312 Å, b = 6.312 Å, c = 6.312 Å
α = 132.95°, β = 89.62°, γ = 108.98°
Positions (direct):
Cd: 0.000 0.000 0.000
Pd: 0.159 0.659 0.500
Pd: 0.233 0.485 0.748
Pd: 0.464 0.217 0.753
Pd: 0.464 0.711 0.247
Pd: 0.737 0.485 0.252
Au: 0.783 0.283 0.500

Mass density (g cm⁻³): 8.4
SG: No. 44
V (Å³/atom): 23.6

***

Need the numbers? Relative energies in eV/atom: arrangement i 0.000; arrangement ii 0.619.

***

Arrangement i

## CdPd3Au (PBE)

Data for a geometry-optimized CdPd3Au structure.

a = 4.886 Å, b = 4.901 Å, c = 7.641 Å
α = 71.31°, β = 85.11°, γ = 74.34°
Positions (direct):
Cd: 0.250 0.148 0.203
Cd: 0.750 0.852 0.797
Pd: 0.250 0.549 0.403
Pd: 0.250 0.749 0.002
Pd: 0.250 0.949 0.602
Pd: 0.750 0.051 0.398
Pd: 0.750 0.251 0.998
Pd: 0.750 0.451 0.597
Au: 0.250 0.353 0.795
Au: 0.750 0.647 0.205

Mass density (g cm⁻³): 12.5
SG: No. 2
V (Å³/atom): 16.7

***

Arrangement ii

## CdPd3Au (PBE)

Data for a geometry-optimized CdPd3Au structure.

a = 4.980 Å, b = 4.980 Å, c = 4.980 Å
α = 90.00°, β = 90.00°, γ = 90.00°
Positions (direct):
Cd: 0.000 0.000 0.000
Pd: 0.000 0.500 0.500
Pd: 0.500 0.000 0.500
Pd: 0.500 0.500 0.000
Au: 0.500 0.500 0.500

Mass density (g cm⁻³): 8.5
SG: No. 221
V (Å³/atom): 24.7

***

Need the numbers? Relative energies in eV/atom: arrangement i 0.000; arrangement ii 1.014.

***

Arrangement i

## CdPd6Au8 (PBE)

Data for a geometry-optimized CdPd6Au8 structure.

a = 7.079 Å, b = 7.079 Å, c = 7.079 Å
α = 66.42°, β = 66.42°, γ = 66.42°
Positions (direct):
Cd: 0.000 0.000 0.000
Pd: 0.055 0.379 0.713
Pd: 0.287 0.945 0.621
Pd: 0.379 0.713 0.055
Pd: 0.621 0.287 0.945
Pd: 0.713 0.055 0.379
Pd: 0.945 0.621 0.287
Au: 0.116 0.788 0.456
Au: 0.212 0.544 0.884
Au: 0.326 0.326 0.326
Au: 0.456 0.116 0.788
Au: 0.544 0.884 0.212
Au: 0.674 0.674 0.674
Au: 0.788 0.456 0.116
Au: 0.884 0.212 0.544

Mass density (g cm⁻³): 13.5
SG: No. 148
V (Å³/atom): 19.0

***

Arrangement ii

## CdPd6Au8 (PBE)

Data for a geometry-optimized CdPd6Au8 structure.

a = 7.708 Å, b = 7.708 Å, c = 5.524 Å
α = 90.00°, β = 90.00°, γ = 120.00°
Positions (direct):
Cd: 0.000 0.000 0.000
Pd: 0.028 0.353 0.140
Pd: 0.324 0.972 0.140
Pd: 0.353 0.324 0.860
Pd: 0.647 0.676 0.140
Pd: 0.676 0.028 0.860
Pd: 0.972 0.647 0.860
Au: 0.020 0.336 0.633
Au: 0.316 0.980 0.633
Au: 0.333 0.667 0.894
Au: 0.336 0.316 0.367
Au: 0.664 0.684 0.633
Au: 0.667 0.333 0.106
Au: 0.684 0.020 0.367
Au: 0.980 0.664 0.367

Mass density (g cm⁻³): 13.6
SG: No. 147
V (Å³/atom): 18.9

***

Need the numbers? Relative energies in eV/atom: arrangement i 0.000; arrangement ii 0.005.

***

Arrangement i

## Cd2Pd4Au5 (PBE)

Data for a geometry-optimized Cd2Pd4Au5 structure.

a = 9.999 Å, b = 9.999 Å, c = 7.030 Å
α = 96.20°, β = 96.20°, γ = 16.38°
Positions (direct):
Cd: 0.091 0.091 0.225
Cd: 0.909 0.909 0.775
Pd: 0.046 0.046 0.852
Pd: 0.324 0.324 0.024
Pd: 0.676 0.676 0.976
Pd: 0.954 0.954 0.148
Au: 0.142 0.142 0.611
Au: 0.232 0.232 0.311
Au: 0.500 0.500 0.500
Au: 0.768 0.768 0.689
Au: 0.858 0.858 0.389

Mass density (g cm⁻³): 13.8
SG: No. 12
V (Å³/atom): 17.9

***

Arrangement ii

## Cd2Pd4Au5 (PBE)

Data for a geometry-optimized Cd2Pd4Au5 structure.

a = 9.925 Å, b = 9.925 Å, c = 6.890 Å
α = 96.80°, β = 96.80°, γ = 16.86°
Positions (direct):
Cd: 0.085 0.085 0.182
Cd: 0.915 0.915 0.818
Pd: 0.225 0.225 0.329
Pd: 0.458 0.458 0.157
Pd: 0.542 0.542 0.843
Pd: 0.775 0.775 0.671
Au: 0.000 0.000 0.500
Au: 0.315 0.315 0.032
Au: 0.366 0.366 0.445
Au: 0.634 0.634 0.555
Au: 0.685 0.685 0.968

Mass density (g cm⁻³): 13.9
SG: No. 12
V (Å³/atom): 17.8

***

Need the numbers? Relative energies in eV/atom: arrangement i 0.056; arrangement ii 0.000.